(1)
4
Lattice="-0.9968 2.7219 -1.0361 1.0745 -2.1000 -1.9777 -7.4208 -3.0284 -0.8162" Properties=species:S:1:pos:R:3 comment="AsRh (meta-GGA SCAN, single point on PBEsol structure)" vol_a3_per_cell=66.11 n_ef_per_ev_atom=0.9546 ef_kj_per_mol_atoms=-13.5 pbc="T T T"
As -0.8462 -0.9948 -1.7991
As -6.4969 -1.4117 -2.0308
Rh -4.3186 -2.4118 -2.1811
Rh -3.0245 0.0053 -1.6489

(2)
4
Lattice="-1.1574 4.7113 -0.5216 -4.3467 1.2567 -1.8262 -3.3706 2.0190 2.8933" Properties=species:S:1:pos:R:3 comment="PmSmRh2 (meta-GGA SCAN, single point on PBEsol structure)" vol_a3_per_cell=82.14 n_ef_per_ev_atom=0.5908 ef_kj_per_mol_atoms=-77.3 pbc="T T T"
Rh -2.2187 1.9967 0.1364
Rh -6.6561 5.9902 0.4091
Sm 0.0000 0.0000 0.0000
Pm -4.4374 3.9935 0.2728

(3)
10
Lattice="3.9441 0.0000 0.0000 0.0000 3.9441 0.0000 0.0000 0.0000 9.8889" Properties=species:S:1:pos:R:3 comment="Nd2MnFe3Si4 (meta-GGA SCAN, single point on PBEsol structure)" vol_a3_per_cell=153.83 n_ef_per_ev_atom=0.4175 e_form_raw_ev_per_atom=-0.586 pbc="T T T"
Nd 1.9721 0.0000 7.3513
Nd 0.0000 1.9721 2.5375
Mn 1.9721 1.9721 0.0000
Fe 0.0000 0.0000 4.9444
Fe 0.0000 0.0000 0.0000
Fe 1.9721 1.9721 4.9444
Si 0.0000 1.9721 8.6613
Si 1.9721 0.0000 3.8606
Si 1.9721 0.0000 1.2276
Si 0.0000 1.9721 6.0283

(4)
4
Lattice="-0.0068 -2.5730 0.2127 0.8280 0.1993 2.4372 -9.1672 0.2800 3.0917" Properties=species:S:1:pos:R:3 comment="ZnAsP2 (meta-GGA SCAN, single point on PBEsol structure)" vol_a3_per_cell=64.51 relative_energy_ev_per_atom=0.568 n_ef_per_ev_atom=0.4748 ef_kj_per_mol_atoms=56.7 pbc="T T T"
As -4.1730 -1.0468 2.8708
P -7.2143 0.2203 2.4331
P -1.9528 0.0596 0.6586
Zn 0.4106 -1.1868 1.3250

(5)
4
Lattice="3.1477 0.0000 0.0000 1.5738 2.7260 0.0000 1.5738 0.9087 9.7736" Properties=species:S:1:pos:R:3 comment="TaPBr2 (meta-GGA SCAN, single point on PBEsol structure)" vol_a3_per_cell=83.86 relative_energy_ev_per_atom=0.525 n_ef_per_ev_atom=0.5661 e_form_raw_ev_per_atom=0.310 pbc="T T T"
Br 1.5738 0.9087 1.9118
Br 4.7215 2.7260 7.8618
P 3.1477 1.8173 4.8868
Ta 0.0000 0.0000 0.0000

(6)
4
Lattice="3.8041 0.0000 0.0000 0.0000 5.0461 0.0000 0.0000 0.0000 5.0543" Properties=species:S:1:pos:R:3 comment="MnSb2Pb (meta-GGA SCAN, single point on PBEsol structure)" vol_a3_per_cell=97.02 n_ef_per_ev_atom=0.5413 e_form_raw_ev_per_atom=0.212 pbc="T T T"
Mn 1.9021 2.5231 0.0000
Pb 0.0000 2.5231 2.5271
Sb 0.0000 0.0000 0.0000
Sb 1.9021 0.0000 2.5271

(7)
5
Lattice="4.7080 0.0000 0.0000 0.0000 4.7080 0.0000 0.0000 0.0000 4.7080" Properties=species:S:1:pos:R:3 comment="MnGaAg3 (meta-GGA SCAN, single point on PBEsol structure)" vol_a3_per_cell=104.35 n_ef_per_ev_atom=0.3582 ef_kj_per_mol_atoms=54.0 pbc="T T T"
Mn 2.3540 2.3540 2.3540
Ga 0.0000 0.0000 0.0000
Ag 0.0000 2.3540 0.0000
Ag 0.0000 0.0000 2.3540
Ag 2.3540 0.0000 0.0000

(8)
10
Lattice="7.7761 0.0000 0.0000 3.8880 6.7343 0.0000 3.8880 2.2448 6.3491" Properties=species:S:1:pos:R:3 comment="Cs2TlAgBr6 (meta-GGA SCAN, single point on PBEsol structure)" vol_a3_per_cell=332.48 n_ef_per_ev_atom=0.2285 e_form_raw_ev_per_atom=-1.153 pbc="T T T"
Cs 11.6641 6.7343 4.7619
Cs 3.8880 2.2448 1.5873
Tl 0.0000 0.0000 0.0000
Ag 7.7761 4.4895 3.1746
Br 7.7761 2.2806 1.6126
Br 9.6891 5.5940 1.6126
Br 7.7761 6.6985 4.7366
Br 9.6891 3.3850 4.7366
Br 5.8631 5.5940 1.6126
Br 5.8631 3.3850 4.7366

(9)
28
Lattice="5.9149 0.0000 0.0000 -2.9574 5.1224 0.0000 0.0000 0.0000 10.2949" Properties=species:S:1:pos:R:3 comment="Li2Ti3SbO8 (meta-GGA SCAN, single point on PBEsol structure)" vol_a3_per_cell=311.92 n_ef_per_ev_atom=0.2302 e_form_raw_ev_per_atom=-2.712 pbc="T T T"
Li 0.0000 3.4149 6.2706
Li 0.0000 0.0000 5.2034
Li 0.0000 0.0000 0.0560
Li 2.9574 1.7075 1.1232
Ti 0.0000 1.7413 2.9023
Ti 2.9574 3.3811 8.0497
Ti 4.4068 0.8707 8.0497
Ti -1.4494 4.2518 2.9023
Ti 1.4494 4.2518 2.9023
Ti 1.5080 0.8707 8.0497
Sb 0.0000 3.4149 10.2787
Sb 2.9574 1.7075 5.1312
O -1.5900 4.3329 9.2052
O 0.0000 5.0027 1.8227
O 0.0000 3.4149 3.9930
O 0.0000 0.0000 1.9129
O 0.0000 0.0000 7.0603
O 1.5900 4.3329 9.2052
O -1.3751 2.6211 1.8227
O 1.3751 2.6211 1.8227
O 2.9574 3.5434 4.0577
O 0.0000 1.5790 9.2052
O 1.5824 2.5014 6.9701
O 4.3325 2.5014 6.9701
O 2.9574 1.7075 9.1404
O 1.3674 0.7895 4.0577
O 2.9574 0.1197 6.9701
O 4.5474 0.7895 4.0577

(10)
4
Lattice="2.8412 0.0000 0.0000 1.4206 2.4606 0.0000 1.4206 0.8202 8.5582" Properties=species:S:1:pos:R:3 comment="Ir2WSe (meta-GGA SCAN, single point on PBEsol structure)" vol_a3_per_cell=59.83 relative_energy_ev_per_atom=0.000 n_ef_per_ev_atom=0.8773 e_form_raw_ev_per_atom=0.374 pbc="T T T"
Ir 4.2618 2.4606 0.0523
Ir 4.2618 2.4606 6.3676
Se 2.8412 1.6404 4.2542
W 1.4206 0.8202 2.1632

(11)
5
Lattice="-4.2753 1.2311 -2.1169 -0.8237 -4.7480 -1.0977 -2.3143 -0.5986 4.3258" Properties=species:S:1:pos:R:3 comment="AgTeAs2Se (meta-GGA SCAN, single point on PBEsol structure)" vol_a3_per_cell=120.35 n_ef_per_ev_atom=0.8772 e_form_raw_ev_per_atom=0.820 pbc="T T T"
As -1.1571 -0.2993 2.1629
As -0.4118 -2.3740 -0.5489
Te -3.7066 -2.0578 0.5556
Se -2.1376 0.6156 -1.0584
Ag 0.0000 0.0000 0.0000

(12)
3
Lattice="2.7869 0.0000 0.0000 0.0000 4.4176 0.0000 0.0000 -2.2088 3.8258" Properties=species:S:1:pos:R:3 comment="InIrRu (meta-GGA SCAN, single point on PBEsol structure)" vol_a3_per_cell=47.10 n_ef_per_ev_atom=0.7908 ef_kj_per_mol_atoms=39.3 pbc="T T T"
In 2.7287 0.0000 0.0000
Ir 2.0537 0.0000 2.5505
Ru 0.7915 2.2088 1.2753

Number 1: raw total energy -27.121 eV per atom. Number 2: raw total energy -39.794 eV per atom. Number 3: raw total energy -20.573 eV per atom. Number 4: raw total energy -13.039 eV per atom. Number 5: raw total energy -28.665 eV per atom. Number 6: raw total energy -41.927 eV per atom. Number 7: raw total energy -25.181 eV per atom. Number 8: raw total energy -30.763 eV per atom. Number 9: raw total energy -12.711 eV per atom. Number 10: raw total energy -57.617 eV per atom. Number 11: raw total energy -24.996 eV per atom. Number 12: raw total energy -46.030 eV per atom.